# 1
Material: Tl2GaIr
Method: DFT, GGA-PBE
State: relaxed

Properties
The value obtained for the relative energy among the computed polymorphs is 0.452 eV per atom. The calculation puts the total energy at -3.695 eV/atom. Its space-group type is Fm-3m. The calculated density comes out at 13118 kg/m³. The calculation puts the density of states at the Fermi level at 1.89 states/eV per cell.

Lattice parameters (Å, degrees): 4.9333 4.9333 4.9333 60.00 60.00 60.00
Element x y z (fractional)
Tl 0.2500 0.2500 0.2500
Tl 0.7500 0.7500 0.7500
Ga 0.0000 0.0000 0.0000
Ir 0.5000 0.5000 0.5000

***

# 2
Material: PmSm4Te5
Method: DFT, GGA-PBE
State: relaxed

Properties
The calculation puts the total energy at -5.323 eV/atom. Its space-group type is C2/m. The calculated density comes out at 7388 kg/m³. The calculation puts the density of states at the Fermi level at 5.17 states/eV per cell.

Lattice parameters (Å, degrees): 7.7053 7.7053 10.9058 118.22 118.22 33.55
Element x y z (fractional)
Pm 0.0000 0.0000 0.0000
Sm 0.2006 0.2006 0.7999
Sm 0.4005 0.4005 0.6009
Sm 0.5995 0.5995 0.3991
Sm 0.7994 0.7994 0.2001
Te 0.0000 0.0000 0.5000
Te 0.2006 0.2006 0.3014
Te 0.3991 0.3991 0.1005
Te 0.6009 0.6009 0.8995
Te 0.7994 0.7994 0.6986

***

What did the second record say?
Material: PmSm4Te5
Method: DFT, GGA-PBE
State: relaxed

Properties
The calculation puts the total energy at -5.323 eV/atom. Its space-group type is C2/m. The calculated density comes out at 7388 kg/m³. The calculation puts the density of states at the Fermi level at 5.17 states/eV per cell.

Lattice parameters (Å, degrees): 7.7053 7.7053 10.9058 118.22 118.22 33.55
Element x y z (fractional)
Pm 0.0000 0.0000 0.0000
Sm 0.2006 0.2006 0.7999
Sm 0.4005 0.4005 0.6009
Sm 0.5995 0.5995 0.3991
Sm 0.7994 0.7994 0.2001
Te 0.0000 0.0000 0.5000
Te 0.2006 0.2006 0.3014
Te 0.3991 0.3991 0.1005
Te 0.6009 0.6009 0.8995
Te 0.7994 0.7994 0.6986